Below is CaPrHo4Se8 after structural relaxation, with properties calculated at the GGA-PBE level.

Properties
Its symmetry is R3m (160). As for the uncorrected formation energy: -1789 meV per atom.

```
14
Lattice="-5.122 -6.388 2.073 -4.165 -4.200 -6.029 2.255 -8.007 -1.896" Properties=species:S:1:pos:R:3 pbc="T T T"
Ca -1.484 -10.998 -3.145
Pr 2.224 -7.981 -1.893
Ho -5.537 -7.606 -2.708
Ho -0.934 -6.108 -3.926
Ho -1.405 -7.185 0.060
Ho 1.115 -4.042 -0.960
Se -2.863 -10.674 -5.552
Se -3.369 -11.833 -1.261
Se -0.656 -8.449 -2.359
Se -1.586 -4.793 -1.482
Se -4.200 -7.912 -0.345
Se -3.703 -6.775 -4.554
Se -6.364 -10.094 -3.477
Se -5.407 -13.835 -4.375
```

---

Below is PmCdGa2Pd5 after structural relaxation, with properties calculated at the GGA-PBE level.

Properties
Its symmetry is P4/mmm (123). The calculation puts the total energy at -4.761 eV per atom.

```
9
Lattice="-2.940 2.104 2.126 1.279 -1.810 3.560 6.023 7.004 1.398" Properties=species:S:1:pos:R:3 pbc="T T T"
Pm 3.012 3.502 0.699
Cd 0.000 0.000 0.000
Ga -0.043 1.062 3.026
Ga 4.405 6.236 4.058
Pd 2.283 1.007 2.162
Pd 0.174 2.963 1.444
Pd 5.019 4.188 2.797
Pd 2.909 6.144 2.080
Pd 2.181 3.649 3.542
```

---

Below is Ac4NdY after structural relaxation, with properties calculated at the GGA-PBE level.

Properties
Its symmetry is Pmmm (47). Its energy above the most stable polymorph in this dataset is 0 meV/atom.

```
12
Lattice="-0.991 2.501 5.609 -7.258 0.737 -1.611 -1.874 -9.710 3.999" Properties=species:S:1:pos:R:3 pbc="T T T"
Ac -5.870 -3.609 7.470
Ac -5.682 -6.453 5.322
Ac -1.615 -0.732 6.939
Ac -4.441 -0.020 2.675
Ac -0.812 -0.389 3.479
Ac -1.250 -6.477 2.668
Ac -2.053 -6.820 6.129
Ac -4.253 -2.864 0.526
Nd -6.435 3.053 4.400
Nd -1.815 0.185 -0.402
Y -6.876 -3.053 3.594
Y -3.247 -3.420 4.402
```

---

Below is Nd2AgPt2 after structural relaxation, with properties calculated at the GGA-PBE level.

Properties
Its symmetry is P4/mbm (127). The calculation puts the total energy at -5.795 eV per atom.

```
10
Lattice="3.838 0.000 0.000 0.000 7.843 0.000 0.000 0.000 7.843" Properties=species:S:1:pos:R:3 pbc="T T T"
Nd 1.919 1.328 5.249
Nd 1.919 5.249 6.516
Nd 1.919 6.516 2.594
Nd 1.919 2.594 1.328
Ag 0.000 0.000 0.000
Ag 0.000 3.922 3.922
Pt 0.000 2.892 6.814
Pt 0.000 6.814 4.951
Pt 0.000 4.951 1.029
Pt 0.000 1.029 2.892
```

---

Below is BeOs2F2 after structural relaxation, with properties calculated at the GGA-PBE level.

Properties
Its symmetry is P4/mbm (127). As for the uncorrected formation energy: 576 meV per atom. Its energy above the most stable polymorph in this dataset is 738 meV/atom.

```
10
Lattice="-5.034 4.673 -2.313 1.951 -1.293 -6.859 -1.791 -1.995 -0.133" Properties=species:S:1:pos:R:3 pbc="T T T"
Be 0.000 0.000 0.000
Be -1.542 1.690 -4.586
Os -0.222 0.666 -6.991
Os -3.279 3.360 -6.250
Os -2.861 2.714 -2.180
Os 0.195 0.020 -2.922
F -0.619 -0.879 -5.574
F -3.045 1.397 -7.052
F -4.256 2.263 -3.731
F -1.830 -0.013 -2.253
```

---

Below is TlAg2W after structural relaxation, with properties calculated at the GGA-PBE level.

Properties
Its symmetry is Cm (8). Its energy above the most stable polymorph in this dataset is 113 meV/atom.

```
4
Lattice="-3.099 4.695 -0.106 -4.983 2.587 -0.367 -2.233 1.407 4.750" Properties=species:S:1:pos:R:3 pbc="T T T"
Tl -4.989 4.253 1.666
Ag -10.056 8.510 3.857
Ag -7.898 6.608 3.643
W -2.843 2.352 1.524
```

---

Below is SrCa2Ta after structural relaxation, with properties calculated at the GGA-PBE level.

Properties
Its symmetry is Imm2 (44). Its energy above the most stable polymorph in this dataset is 180 meV/atom.

```
4
Lattice="-4.119 -3.167 3.496 -0.865 -5.683 -2.485 5.206 3.128 1.527" Properties=species:S:1:pos:R:3 pbc="T T T"
Sr -2.491 -4.423 0.505
Ca -0.001 -0.002 0.000
Ca -0.703 -2.232 2.764
Ta 0.925 -3.488 -0.227
```

---

Below is TbZrTcIr after structural relaxation, with properties calculated at the GGA-PBE level.

Properties
Its symmetry is F-43m (216). The calculation puts the total energy at -8.586 eV per atom.

```
4
Lattice="4.749 0.000 0.000 2.375 4.113 0.000 2.375 1.371 3.878" Properties=species:S:1:pos:R:3 pbc="T T T"
Ir 0.000 0.000 0.000
Tb 2.375 1.371 0.969
Tc 4.749 2.742 1.939
Zr 7.124 4.113 2.908
```

---

Below is RbLaZr2 after structural relaxation, with properties calculated at the GGA-PBE level.

Properties
Its symmetry is I-42d (122). Its energy above the most stable polymorph in this dataset is 0 meV/atom.

```
8
Lattice="-0.577 -3.964 2.086 4.417 -0.154 0.929 -0.052 3.662 11.836" Properties=species:S:1:pos:R:3 pbc="T T T"
Rb 1.920 -2.059 1.507
Rb 3.143 0.725 7.136
Zr 0.170 -1.642 4.411
Zr 2.684 0.385 3.768
Zr 1.333 1.205 9.993
Zr 3.389 -0.859 11.529
La 0.000 0.000 0.000
La 0.646 -1.180 7.714
```

---

Below is TmInCoAg after structural relaxation, with properties calculated at the GGA-PBE level.

Properties
Its symmetry is F-43m (216). The calculation puts the total energy at -4.437 eV per atom.

```
4
Lattice="4.743 0.000 0.000 2.372 4.108 0.000 2.372 1.369 3.873" Properties=species:S:1:pos:R:3 pbc="T T T"
Tm 7.115 4.108 2.905
Co 0.000 0.000 0.000
Ag 4.743 2.739 1.937
In 2.372 1.369 0.968
```

---

Below is SmGa2Cu4 after structural relaxation, with properties calculated at the GGA-PBE level.

Properties
Its symmetry is R-3m (166). Its energy above the most stable polymorph in this dataset is 10 meV/atom.

```
7
Lattice="-1.868 -1.430 -3.421 2.246 -1.797 -2.995 -0.827 -7.863 1.220" Properties=species:S:1:pos:R:3 pbc="T T T"
Sm 0.000 0.000 0.000
Ga -0.109 -2.748 -1.311
Ga -0.341 -8.343 -3.885
Cu -0.388 -6.706 -2.024
Cu -0.421 -4.969 -0.212
Cu -0.062 -4.385 -3.172
Cu -0.029 -6.122 -4.984
```

---

Below is Ba2LiTl5 after structural relaxation, with properties calculated at the GGA-PBE level.

Properties
Its symmetry is Cmcm (63). The calculation puts the total energy at -2.483 eV per atom.

```
16
Lattice="5.207 0.000 0.000 -2.604 9.610 0.000 0.000 0.000 10.645" Properties=species:S:1:pos:R:3 pbc="T T T"
Ba 2.604 5.552 7.984
Ba 0.000 4.058 2.661
Ba 0.000 0.000 0.000
Ba 0.000 0.000 5.323
Li 0.000 8.530 7.984
Li 2.604 1.080 2.661
Tl 0.000 3.645 9.584
Tl 2.604 5.965 1.061
Tl 0.000 3.645 6.384
Tl 2.604 5.965 4.262
Tl 0.000 6.951 10.233
Tl 2.604 2.659 0.413
Tl 0.000 6.951 5.736
Tl 2.604 2.659 4.910
Tl 2.604 1.672 7.984
Tl 0.000 7.938 2.661
```

---

Below is Sm2AgOsO8 after structural relaxation, with properties calculated at the GGA-PBE level.

Properties
Its symmetry is P-1 (2). As for the uncorrected formation energy: -1772 meV per atom.

```
12
Lattice="4.613 -0.189 0.012 -0.159 5.061 0.176 0.038 0.282 7.155" Properties=species:S:1:pos:R:3 pbc="T T T"
Sm 1.816 2.614 5.445
Sm 2.676 2.540 1.899
Ag 0.019 0.141 3.578
Os 0.000 0.000 0.000
O 0.556 3.656 1.204
O 3.031 4.063 7.010
O 3.789 0.441 1.649
O 3.936 1.499 6.140
O 1.460 1.091 0.334
O 0.703 4.714 5.695
O 3.164 3.484 3.879
O 1.328 1.670 3.465
```

---

Below is LaBeNi3 after structural relaxation, with properties calculated at the GGA-PBE level.

Properties
Its symmetry is Pm-3m (221). Its energy above the most stable polymorph in this dataset is 1715 meV/atom.

```
5
Lattice="4.692 0.000 0.000 0.000 4.692 0.000 0.000 0.000 4.692" Properties=species:S:1:pos:R:3 pbc="T T T"
Ni 0.000 2.346 0.000
Ni 0.000 0.000 2.346
Ni 2.346 0.000 0.000
Be 2.346 2.346 2.346
La 0.000 0.000 0.000
```

---

Below is Li2ThSc2Pb2 after structural relaxation, with properties calculated at the GGA-PBE level.

Properties
Its symmetry is R-3m (166). The calculation puts the total energy at -4.712 eV per atom.

```
7
Lattice="-3.734 -1.731 2.449 -0.379 -4.711 0.775 2.986 -1.308 8.311" Properties=species:S:1:pos:R:3 pbc="T T T"
Li -1.502 -4.055 4.208
Li 0.375 -3.694 7.326
Th 0.000 0.000 0.000
Sc 1.245 -1.643 5.419
Sc -2.372 -6.106 6.115
Pb -0.743 -5.792 8.821
Pb -0.384 -1.957 2.714
```

---

Below is AlHI2 after structural relaxation, with properties calculated at the GGA-PBE level.

Properties
Its symmetry is Fm-3m (225). Its energy above the most stable polymorph in this dataset is 915 meV/atom.

```
4
Lattice="0.000 3.619 3.619 3.619 0.000 3.619 3.619 3.619 0.000" Properties=species:S:1:pos:R:3 pbc="T T T"
I 1.809 1.809 1.809
I 5.428 5.428 5.428
H 0.000 0.000 0.000
Al 3.619 3.619 3.619
```

---

Below is Zr2BeAsRu after structural relaxation, with properties calculated at the GGA-PBE level.

Properties
Its symmetry is P4/mmm (123). The calculation puts the total energy at -6.801 eV per atom.

```
5
Lattice="4.999 0.000 0.000 0.000 4.133 0.000 0.000 0.000 4.999" Properties=species:S:1:pos:R:3 pbc="T T T"
Ru 0.000 0.000 0.000
As 2.500 2.067 2.500
Zr 0.000 0.000 2.500
Zr 2.500 0.000 0.000
Be 0.000 2.067 0.000
```

---

Below is SrTaRu2 after structural relaxation, with properties calculated at the GGA-PBE level.

Properties
Its symmetry is P4mm (99). Its energy above the most stable polymorph in this dataset is 548 meV/atom.

```
4
Lattice="-1.959 -0.842 -1.961 -1.707 -0.980 2.126 -4.061 8.218 0.526" Properties=species:S:1:pos:R:3 pbc="T T T"
Ru -0.097 0.197 0.013
Ru -2.642 0.726 0.187
Sr -1.917 3.880 0.249
Ta -5.101 5.702 0.506
```

---

Below is RbTl2Zn2 after structural relaxation, with properties calculated at the GGA-PBE level.

Properties
Its symmetry is P4/mbm (127). Its energy above the most stable polymorph in this dataset is 90 meV/atom.

```
10
Lattice="-9.231 0.108 1.126 -0.729 -7.649 -5.238 0.310 -1.896 2.726" Properties=species:S:1:pos:R:3 pbc="T T T"
Tl -4.007 -6.583 -4.123
Tl -8.454 -4.758 -2.347
Tl -5.952 -0.958 0.011
Tl -1.505 -2.784 -1.765
Zn -1.726 -5.921 -1.882
Zn -6.483 -7.362 -2.343
Zn -7.923 -3.516 0.496
Zn -3.165 -2.075 0.957
Rb 0.000 0.000 0.000
Rb -4.980 -3.771 -2.056
```

---

Below is Sm2Al3NiPt4 after structural relaxation, with properties calculated at the GGA-PBE level.

Properties
Its symmetry is P-4m2 (115). The calculation puts the total energy at -6.058 eV per atom.

```
10
Lattice="4.126 0.000 0.000 0.000 4.126 0.000 0.000 0.000 10.854" Properties=species:S:1:pos:R:3 pbc="T T T"
Sm 2.063 0.000 2.834
Sm 0.000 2.063 8.019
Al 0.000 0.000 5.427
Al 2.063 0.000 9.422
Al 0.000 2.063 1.431
Ni 2.063 2.063 5.427
Pt 2.063 2.063 0.000
Pt 0.000 0.000 0.000
Pt 2.063 0.000 6.945
Pt 0.000 2.063 3.909
```